(1)
Crystalline CeCdIn at its relaxed geometry, computed with PBE-GGA.

Output
formation energy from the elements	-0.30	eV/atom
symmetry	No. 164

CIF file:
```
data_CeCdIn
_space_group_name_H-M_alt 'P 1'
_space_group_IT_number 1
_cell_length_a 5.0015
_cell_length_b 5.0015
_cell_length_c 7.3699
_cell_angle_alpha 90.00
_cell_angle_beta 90.00
_cell_angle_gamma 120.00
loop_
_space_group_symop_operation_xyz
'x,y,z'
loop_
_atom_site_label
_atom_site_type_symbol
_atom_site_fract_x
_atom_site_fract_y
_atom_site_fract_z
Ce1 Ce 0.0000 0.0000 0.2403
Ce2 Ce 0.0000 0.0000 0.7597
Cd1 Cd 0.3333 0.6667 0.0194
Cd2 Cd 0.6667 0.3333 0.9806
In1 In 0.3333 0.6667 0.4571
In2 In 0.6667 0.3333 0.5429
```


(2)
Crystalline K2Pm2SbS6 at its relaxed geometry, computed with PBE-GGA.

Output
E_form (uncorrected)	-1.357	eV per atom
symmetry	No. 12

CIF file:
```
data_K2Pm2SbS6
_space_group_name_H-M_alt 'P 1'
_space_group_IT_number 1
_cell_length_a 7.0211
_cell_length_b 7.0211
_cell_length_c 7.9149
_cell_angle_alpha 98.53
_cell_angle_beta 98.53
_cell_angle_gamma 119.57
loop_
_space_group_symop_operation_xyz
'x,y,z'
loop_
_atom_site_label
_atom_site_type_symbol
_atom_site_fract_x
_atom_site_fract_y
_atom_site_fract_z
K1 K 0.1680 0.8320 0.0000
K2 K 0.8320 0.1680 0.0000
Pm1 Pm 0.3335 0.6665 0.5000
Pm2 Pm 0.6665 0.3335 0.5000
Sb1 Sb 0.0000 0.0000 0.5000
S1 S 0.0642 0.3830 0.6972
S2 S 0.2464 0.2464 0.3036
S3 S 0.3830 0.0642 0.6972
S4 S 0.6170 0.9358 0.3028
S5 S 0.7536 0.7536 0.6964
S6 S 0.9358 0.6170 0.3028
```


(3)
Crystalline Ce2PrZn2Pb2 at its relaxed geometry, computed with PBE-GGA.

Output
formation energy from the elements	-0.21	eV/atom
symmetry	No. 166

CIF file:
```
data_Ce2PrZn2Pb2
_space_group_name_H-M_alt 'P 1'
_space_group_IT_number 1
_cell_length_a 10.0997
_cell_length_b 10.0997
_cell_length_c 10.0997
_cell_angle_alpha 26.58
_cell_angle_beta 26.58
_cell_angle_gamma 26.58
loop_
_space_group_symop_operation_xyz
'x,y,z'
loop_
_atom_site_label
_atom_site_type_symbol
_atom_site_fract_x
_atom_site_fract_y
_atom_site_fract_z
Ce1 Ce 0.1447 0.1447 0.1447
Ce2 Ce 0.8553 0.8553 0.8553
Pr1 Pr 0.0000 0.0000 0.0000
Zn1 Zn 0.4284 0.4284 0.4284
Zn2 Zn 0.5716 0.5716 0.5716
Pb1 Pb 0.2682 0.2682 0.2682
Pb2 Pb 0.7318 0.7318 0.7318
```


(4)
Crystalline Ce2ThAl2 at its relaxed geometry, computed with PBE-GGA.

Output
formation energy from the elements	-0.15	eV/atom
symmetry	No. 11

CIF file:
```
data_Ce2ThAl2
_space_group_name_H-M_alt 'P 1'
_space_group_IT_number 1
_cell_length_a 5.9961
_cell_length_b 4.3648
_cell_length_c 10.4303
_cell_angle_alpha 90.00
_cell_angle_beta 102.81
_cell_angle_gamma 90.00
loop_
_space_group_symop_operation_xyz
'x,y,z'
loop_
_atom_site_label
_atom_site_type_symbol
_atom_site_fract_x
_atom_site_fract_y
_atom_site_fract_z
Ce1 Ce 0.1095 0.2500 0.0642
Ce2 Ce 0.3211 0.7500 0.3497
Ce3 Ce 0.6789 0.2500 0.6503
Ce4 Ce 0.8905 0.7500 0.9358
Th1 Th 0.2446 0.7500 0.7492
Th2 Th 0.7554 0.2500 0.2508
Al1 Al 0.1396 0.2500 0.5227
Al2 Al 0.4607 0.7500 0.0675
Al3 Al 0.5393 0.2500 0.9325
Al4 Al 0.8604 0.7500 0.4773
```